[1]
# BaH2Au2

BaH2Au2 at its PBEsol-relaxed geometry (SCAN, Alexandria).

POSCAR file:
```
BaH2Au2
1.0
7.763 0.000 0.000
0.000 7.763 0.000
0.000 0.000 3.645
Ba H Au
2 4 4
direct
0.000 0.000 0.000 Ba
0.500 0.500 0.000 Ba
0.138 0.362 0.500 H
0.362 0.862 0.500 H
0.638 0.138 0.500 H
0.862 0.638 0.500 H
0.125 0.375 0.000 Au
0.375 0.875 0.000 Au
0.625 0.125 0.000 Au
0.875 0.625 0.000 Au
```

**DOS(E_F)**: 0.35 states/eV/atom
**Final energy**: -36.994 eV/atom

---

[2]
# Ba2H2Au

Ba2H2Au at its PBEsol-relaxed geometry (SCAN, Alexandria).

POSCAR file:
```
Ba2H2Au
1.0
-2.047 2.047 7.047
2.047 -2.047 7.047
2.047 2.047 -7.047
Ba H Au
2 2 1
direct
0.140 0.140 0.000 Ba
0.860 0.860 0.000 Ba
0.250 0.750 0.500 H
0.750 0.250 0.500 H
0.500 0.500 0.000 Au
```

**DOS(E_F)**: 0.45 states/eV/atom
**Final energy**: -31.685 eV/atom

---

[3]
# BaNaHAu2

BaNaHAu2 at its PBEsol-relaxed geometry (SCAN, Alexandria).

POSCAR file:
```
BaNaHAu2
1.0
6.093 0.000 0.000
0.000 6.093 0.000
0.000 0.000 4.737
Ba Na H Au
1 1 1 2
direct
0.000 0.000 0.000 Ba
0.500 0.500 0.500 Na
0.000 0.000 0.500 H
0.000 0.500 0.000 Au
0.500 0.000 0.000 Au
```

**DOS(E_F)**: 0.17 states/eV/atom
**Final energy**: -37.135 eV/atom

---

[4]
# BaH2RuAu

BaH2RuAu at its PBEsol-relaxed geometry (SCAN, Alexandria).

POSCAR file:
```
BaH2RuAu
1.0
4.022 0.000 0.000
0.000 4.022 0.000
0.000 0.000 5.434
Ba H Ru Au
1 2 1 1
direct
0.000 0.000 0.000 Ba
0.000 0.500 0.000 H
0.500 0.000 0.000 H
0.000 0.000 0.500 Ru
0.500 0.500 0.500 Au
```

**DOS(E_F)**: 0.56 states/eV/atom
**Final energy**: -28.921 eV/atom

---

[5]
# BaZnH2Au

BaZnH2Au at its PBEsol-relaxed geometry (SCAN, Alexandria).

POSCAR file:
```
BaZnH2Au
1.0
4.444 0.000 0.000
0.000 4.444 0.000
0.000 0.000 6.270
Ba Zn H Au
1 1 2 1
direct
0.000 0.000 0.000 Ba
0.500 0.500 0.500 Zn
0.000 0.500 0.000 H
0.500 0.000 0.000 H
0.000 0.000 0.500 Au
```

**DOS(E_F)**: 0.42 states/eV/atom
**Final energy**: -25.416 eV/atom

---

[6]
# BaHg2Au

BaHg2Au at its PBEsol-relaxed geometry (SCAN, Alexandria).

POSCAR file:
```
BaHg2Au
1.0
0.000 3.763 3.763
3.763 0.000 3.763
3.763 3.763 0.000
Ba Hg Au
1 2 1
direct
0.000 0.000 0.000 Ba
0.500 0.500 0.500 Hg
0.750 0.750 0.750 Hg
0.250 0.250 0.250 Au
```

**Energy of formation from the pure elements**: -11.6 kcal/mol of atoms
**DOS(E_F)**: 0.77 states/eV/atom